# CeSn2Rh

A crystal of CeSn2Rh relaxed with PBEsol (SCAN, Alexandria).

Structure (CIF):
```
data_CeSn2Rh
_symmetry_space_group_name_H-M 'C m c m'
_symmetry_Int_Tables_number 63
_symmetry_space_group_name_Hall '-C 2c 2'
_cell_length_a 4.507
_cell_length_b 16.943
_cell_length_c 9.473
_cell_angle_alpha 90.00
_cell_angle_beta 90.00
_cell_angle_gamma 90.00
loop_
_atom_site_label
_atom_site_fract_x
_atom_site_fract_y
_atom_site_fract_z
Ce1 0.000 0.000 0.000
Ce2 0.000 0.203 0.250
Sn1 0.000 0.199 0.590
Sn2 0.000 0.410 0.250
Sn3 0.000 0.427 0.750
Rh1 0.000 0.354 0.507
```

Calculated values
energy of formation	-0.80	eV/atom
density of states at the Fermi level	3.6	states/eV/f.u.



# CeYRh4

A crystal of CeYRh4 relaxed with PBEsol (SCAN, Alexandria).

Structure (CIF):
```
data_CeYRh4
_symmetry_space_group_name_H-M 'F -4 3 m'
_symmetry_Int_Tables_number 216
_symmetry_space_group_name_Hall 'F -4 2 3'
_cell_length_a 7.439
_cell_length_b 7.439
_cell_length_c 7.439
_cell_angle_alpha 90.00
_cell_angle_beta 90.00
_cell_angle_gamma 90.00
loop_
_atom_site_label
_atom_site_fract_x
_atom_site_fract_y
_atom_site_fract_z
Ce1 0.000 0.000 0.000
Y1 0.250 0.250 0.250
Rh1 0.125 0.125 0.625
```

Calculated values
energy of formation	-0.79	eV/atom
density of states at the Fermi level	5.1	states/eV/f.u.